First-principles (PBE-GGA) data for an optimized crystal structure of KAsW2, as listed in the Alexandria database.

Cell: 2.762 4.135 7.881 Å, 90.00 91.13 90.00°
Space group Pm (No. 6)
Asymmetric unit:
1 K 0.000 0.000 0.000
2 As 0.550 0.500 0.296
3 W 0.246 0.000 0.485
4 W 0.586 0.500 0.641

- magnetic moment (Bohr magnetons per cell) = 0.0
- E_form (eV/atom) = 0.57